<1>
PmSmF6 | PBE | relaxed

M_tot ... 0.000 μB/atom
DOS at the Fermi energy ... 0.00 states/eV per atom
Crystal system ... monoclinic
SG ... C2/m (12)

a b c (Å): 6.098 6.098 7.087
angles (deg): 125.48 125.48 39.20
Element x y z (fractional)
Pm 0.000 0.000 0.000
Sm 0.500 0.500 0.500
F 0.052 0.052 0.718
F 0.251 0.251 0.251
F 0.449 0.449 0.781
F 0.551 0.551 0.219
F 0.749 0.749 0.749
F 0.948 0.948 0.282


<2>
PmSmF6 | PBE | relaxed

M_tot ... 0.000 μB/atom
DOS at the Fermi energy ... 0.00 states/eV per atom
Crystal system ... triclinic
SG ... P-1 (2)

a b c (Å): 5.933 5.935 6.463
angles (deg): 62.73 62.71 60.08
Element x y z (fractional)
Pm 0.000 0.000 0.000
Sm 0.500 0.500 0.500
F 0.157 0.749 0.749
F 0.250 0.656 0.251
F 0.345 0.157 0.749
F 0.655 0.843 0.251
F 0.750 0.344 0.749
F 0.843 0.251 0.251


Order from most stable to least stable according to the calculation: <1>, <2>


<1>
PmSnF6 | PBE | relaxed

M_tot ... 0.000 μB/atom
DOS at the Fermi energy ... 0.35 states/eV per atom
Crystal system ... trigonal
SG ... R-3m (166)

a b c (Å): 6.309 6.309 6.309
angles (deg): 45.81 45.81 45.81
Element x y z (fractional)
Pm 0.000 0.000 0.000
Sn 0.500 0.500 0.500
F 0.068 0.578 0.578
F 0.422 0.422 0.932
F 0.422 0.932 0.422
F 0.578 0.068 0.578
F 0.578 0.578 0.068
F 0.932 0.422 0.422


<2>
PmSnF6 | PBE | relaxed

M_tot ... 0.000 μB/atom
DOS at the Fermi energy ... 0.48 states/eV per atom
Crystal system ... monoclinic
SG ... C2/m (12)

a b c (Å): 5.092 5.092 5.660
angles (deg): 95.98 95.98 111.61
Element x y z (fractional)
Pm 0.000 0.000 0.000
Sn 0.500 0.500 0.500
F 0.122 0.439 0.240
F 0.226 0.226 0.714
F 0.439 0.122 0.240
F 0.561 0.878 0.760
F 0.774 0.774 0.286
F 0.878 0.561 0.760


Order from most stable to least stable according to the calculation: <2>, <1>


<1>
SrPm2F8 | PBE | relaxed

M_tot ... 0.008 μB/atom
DOS at the Fermi energy ... 0.00 states/eV per atom
Crystal system ... orthorhombic
SG ... Immm (71)

a b c (Å): 6.890 6.890 6.890
angles (deg): 147.60 124.45 65.80
Element x y z (fractional)
Sr 0.000 0.000 0.000
Pm 0.320 0.320 0.000
Pm 0.680 0.680 0.000
F 0.118 0.839 0.280
F 0.161 0.661 0.500
F 0.310 0.500 0.810
F 0.441 0.161 0.280
F 0.559 0.839 0.720
F 0.690 0.500 0.190
F 0.839 0.339 0.500
F 0.882 0.161 0.720


<2>
SrPm2F8 | PBE | relaxed

M_tot ... 0.000 μB/atom
DOS at the Fermi energy ... 0.00 states/eV per atom
Crystal system ... monoclinic
SG ... C2/m (12)

a b c (Å): 7.600 7.600 5.783
angles (deg): 109.36 109.36 29.53
Element x y z (fractional)
Sr 0.000 0.000 0.000
Pm 0.323 0.323 0.315
Pm 0.677 0.677 0.685
F 0.101 0.101 0.462
F 0.180 0.180 0.963
F 0.288 0.288 0.678
F 0.460 0.460 0.208
F 0.540 0.540 0.792
F 0.712 0.712 0.322
F 0.820 0.820 0.037
F 0.899 0.899 0.538


Order from most stable to least stable according to the calculation: <2>, <1>


<1>
Pm2TcF | PBE | relaxed

M_tot ... 0.233 μB/atom
DOS at the Fermi energy ... 0.78 states/eV per atom
Crystal system ... trigonal
SG ... R-3m (166)

a b c (Å): 9.534 9.534 9.534
angles (deg): 19.25 19.25 19.25
Element x y z (fractional)
Pm 0.096 0.096 0.096
Pm 0.904 0.904 0.904
Tc 0.000 0.000 0.000
F 0.500 0.500 0.500


<2>
Pm2TcF | PBE | relaxed

M_tot ... 0.000 μB/atom
DOS at the Fermi energy ... 0.43 states/eV per atom
Crystal system ... tetragonal
SG ... P4/mmm (123)

a b c (Å): 3.369 3.369 7.441
angles (deg): 90.00 90.00 90.00
Element x y z (fractional)
Pm 0.000 0.000 0.236
Pm 0.000 0.000 0.764
Tc 0.500 0.500 0.000
F 0.500 0.500 0.500


Order from most stable to least stable according to the calculation: <2>, <1>